A plane-wave DFT calculation with GGA-PBE was carried out for a relaxed ZrSi2Pb crystal.

The structure in POSCAR format:
```
ZrSi2Pb
1.0
-2.831 -0.599 -2.422
2.305 -2.082 -2.180
-0.363 -5.856 1.872
Pb Si Zr
1 2 1
direct
0.500 0.803 0.768
0.000 0.173 0.031
0.500 0.045 0.285
0.000 0.479 0.416
```

crystal system	monoclinic
uncorrected energy	-23.2	eV per formula unit
calculated density	7.025	g/cm³
DOS(E_F)	1.6	states/eV/cell
formation energy from raw total energies	-0.0342	eV/atom